Record 1
{
  "formula": "Ag6PdF8",
  "functional": "PBE-GGA",
  "state": "optimized geometry",
  "lattice": [[7.3034, 0.0000, 0.0000], [-3.6517, 6.3249, 0.0000], [0.0000, 0.0000, 5.2010]],
  "species": ["Ag", "Ag", "Ag", "Ag", "Ag", "Ag", "Pd", "F", "F", "F", "F", "F", "F", "F", "F"],
  "fractional_positions": [[0.0054, 0.3990, 0.2338], [0.3936, 0.9946, 0.2338], [0.3990, 0.3936, 0.7662], [0.6010, 0.6064, 0.2338], [0.6064, 0.0054, 0.7662], [0.9946, 0.6010, 0.7662], [0.0000, 0.0000, 0.5000], [0.0411, 0.2831, 0.7125], [0.2420, 0.9589, 0.7125], [0.2831, 0.2420, 0.2875], [0.3333, 0.6667, 0.0891], [0.6667, 0.3333, 0.9109], [0.7169, 0.7580, 0.7125], [0.7580, 0.0411, 0.2875], [0.9589, 0.7169, 0.2875]],
  "dos_ef_per_ev_cell": 1.6,
  "magnetic_moment_mub_per_fu": 2.0,
  "e_form_raw_ev_per_atom": -0.960,
  "final_energy_ev_per_cell": -51.67
}

---

Record 2
{
  "formula": "Tm4PbAu5",
  "functional": "PBE-GGA",
  "state": "optimized geometry",
  "lattice": [[3.5773, 0.0000, 0.0000], [0.0000, 3.5773, 0.0000], [0.0000, 0.0000, 17.7633]],
  "species": ["Tm", "Tm", "Tm", "Tm", "Pb", "Au", "Au", "Au", "Au", "Au"],
  "fractional_positions": [[0.0000, 0.0000, 0.1000], [0.0000, 0.0000, 0.2997], [0.0000, 0.0000, 0.7003], [0.0000, 0.0000, 0.9000], [0.0000, 0.0000, 0.5000], [0.5000, 0.5000, 0.0000], [0.5000, 0.5000, 0.1980], [0.5000, 0.5000, 0.3853], [0.5000, 0.5000, 0.6147], [0.5000, 0.5000, 0.8020]],
  "formation_energy_ev_per_fu": -7.74,
  "dos_ef_per_ev_cell": 4.9,
  "magnetic_moment_mub_per_fu": 0.0,
  "final_energy_ev_per_cell": -45.72
}

---

Record 3
{
  "formula": "Pa5Ir12Pt3",
  "functional": "PBE-GGA",
  "state": "optimized geometry",
  "lattice": [[-7.6088, 7.6088, 7.6088], [7.6088, -7.6088, 7.6088], [7.6088, 7.6088, -7.6088]],
  "species": ["Pa", "Pa", "Pa", "Pa", "Pa", "Pa", "Pa", "Pa", "Pa", "Pa", "Pa", "Pa", "Pa", "Pa", "Pa", "Pa", "Pa", "Pa", "Pa", "Pa", "Ir", "Ir", "Ir", "Ir", "Ir", "Ir", "Ir", "Ir", "Ir", "Ir", "Ir", "Ir", "Ir", "Ir", "Ir", "Ir", "Ir", "Ir", "Ir", "Ir", "Ir", "Ir", "Ir", "Ir", "Ir", "Ir", "Ir", "Ir", "Ir", "Ir", "Ir", "Ir", "Ir", "Ir", "Ir", "Ir", "Ir", "Ir", "Ir", "Ir", "Ir", "Ir", "Ir", "Ir", "Ir", "Ir", "Ir", "Ir", "Pt", "Pt", "Pt", "Pt", "Pt", "Pt", "Pt", "Pt", "Pt", "Pt", "Pt", "Pt"],
  "fractional_positions": [[0.0000, 0.0000, 0.0000], [0.0000, 0.0000, 0.5000], [0.0000, 0.5000, 0.0000], [0.0000, 0.5000, 0.5000], [0.1250, 0.7500, 0.8750], [0.1250, 0.8750, 0.2500], [0.2500, 0.1250, 0.8750], [0.2500, 0.6250, 0.3750], [0.3750, 0.2500, 0.6250], [0.3750, 0.6250, 0.7500], [0.5000, 0.0000, 0.0000], [0.5000, 0.0000, 0.5000], [0.5000, 0.5000, 0.0000], [0.5000, 0.5000, 0.5000], [0.6250, 0.3750, 0.2500], [0.6250, 0.7500, 0.3750], [0.7500, 0.3750, 0.6250], [0.7500, 0.8750, 0.1250], [0.8750, 0.1250, 0.7500], [0.8750, 0.2500, 0.1250], [0.0695, 0.2325, 0.1492], [0.0695, 0.3370, 0.9203], [0.0797, 0.6492, 0.4168], [0.0797, 0.9305, 0.6630], [0.0832, 0.7325, 0.6630], [0.0832, 0.8508, 0.4203], [0.1492, 0.0695, 0.2325], [0.1492, 0.5797, 0.9168], [0.1630, 0.2325, 0.5832], [0.1630, 0.4305, 0.5797], [0.2325, 0.1492, 0.0695], [0.2325, 0.5832, 0.1630], [0.2675, 0.3370, 0.9168], [0.2675, 0.4305, 0.3508], [0.3370, 0.9168, 0.2675], [0.3370, 0.9203, 0.0695], [0.3508, 0.2675, 0.4305], [0.3508, 0.5832, 0.9203], [0.4168, 0.0797, 0.6492], [0.4168, 0.8370, 0.7675], [0.4203, 0.0832, 0.8508], [0.4203, 0.8370, 0.5695], [0.4305, 0.3508, 0.2675], [0.4305, 0.5797, 0.1630], [0.5695, 0.4203, 0.8370], [0.5695, 0.6492, 0.7325], [0.5797, 0.1630, 0.4305], [0.5797, 0.9168, 0.1492], [0.5832, 0.1630, 0.2325], [0.5832, 0.9203, 0.3508], [0.6492, 0.4168, 0.0797], [0.6492, 0.7325, 0.5695], [0.6630, 0.0797, 0.9305], [0.6630, 0.0832, 0.7325], [0.7325, 0.5695, 0.6492], [0.7325, 0.6630, 0.0832], [0.7675, 0.4168, 0.8370], [0.7675, 0.8508, 0.9305], [0.8370, 0.5695, 0.4203], [0.8370, 0.7675, 0.4168], [0.8508, 0.4203, 0.0832], [0.8508, 0.9305, 0.7675], [0.9168, 0.1492, 0.5797], [0.9168, 0.2675, 0.3370], [0.9203, 0.0695, 0.3370], [0.9203, 0.3508, 0.5832], [0.9305, 0.6630, 0.0797], [0.9305, 0.7675, 0.8508], [0.1250, 0.2500, 0.3750], [0.1250, 0.3750, 0.7500], [0.2500, 0.3750, 0.1250], [0.2500, 0.8750, 0.6250], [0.3750, 0.1250, 0.2500], [0.3750, 0.7500, 0.1250], [0.6250, 0.2500, 0.8750], [0.6250, 0.8750, 0.7500], [0.7500, 0.1250, 0.3750], [0.7500, 0.6250, 0.8750], [0.8750, 0.6250, 0.2500], [0.8750, 0.7500, 0.6250]],
  "formation_energy_ev_per_fu": 1.09,
  "dos_ef_per_ev_cell": 50.6,
  "magnetic_moment_mub_per_fu": 0.0,
  "final_energy_ev_per_cell": -683.38
}

---

Record 4
{
  "formula": "Tb10Ho4Th",
  "functional": "PBE-GGA",
  "state": "optimized geometry",
  "lattice": [[-4.8553, 4.8553, 5.2191], [4.8553, -4.8553, 5.2191], [4.8553, 4.8553, -5.2191]],
  "species": ["Tb", "Tb", "Tb", "Tb", "Tb", "Tb", "Tb", "Tb", "Tb", "Tb", "Ho", "Ho", "Ho", "Ho", "Th"],
  "fractional_positions": [[0.0463, 0.3722, 0.0982], [0.0519, 0.9537, 0.3259], [0.2500, 0.7500, 0.5000], [0.2740, 0.9481, 0.9018], [0.3722, 0.2740, 0.3259], [0.6278, 0.7260, 0.6741], [0.7260, 0.0519, 0.0982], [0.7500, 0.2500, 0.5000], [0.9481, 0.0463, 0.6741], [0.9537, 0.6278, 0.9018], [0.1657, 0.4328, 0.5984], [0.4328, 0.8343, 0.2671], [0.5672, 0.1657, 0.7329], [0.8343, 0.5672, 0.4016], [0.5000, 0.5000, 0.0000]],
  "formation_energy_ev_per_fu": 5.72,
  "dos_ef_per_ev_cell": 23.6,
  "magnetic_moment_mub_per_fu": 0.7,
  "final_energy_ev_per_cell": -66.31
}

---

Record 5
{
  "formula": "TiNiPS2",
  "functional": "PBE-GGA",
  "state": "optimized geometry",
  "lattice": [[4.6177, 0.0000, 0.0000], [0.0000, 4.6177, 0.0000], [0.0000, 0.0000, 4.7476]],
  "species": ["Ti", "Ni", "P", "S", "S"],
  "fractional_positions": [[0.0000, 0.0000, 0.0000], [0.5000, 0.5000, 0.5000], [0.0000, 0.0000, 0.5000], [0.0000, 0.5000, 0.0000], [0.5000, 0.0000, 0.0000]],
  "dos_ef_per_ev_cell": 7.4,
  "relative_energy_kj_per_mol_atoms": 10.33,
  "magnetic_moment_mub_per_fu": 1.4,
  "e_form_raw_ev_per_atom": 0.321,
  "final_energy_ev_per_cell": -25.73
}

---

Record 6
{
  "formula": "NbTe2MoN",
  "functional": "PBE-GGA",
  "state": "optimized geometry",
  "lattice": [[5.5503, 0.0000, 0.0000], [0.0000, 5.5503, 0.0000], [0.0000, 0.0000, 3.8871]],
  "species": ["Nb", "Te", "Te", "Mo", "N"],
  "fractional_positions": [[0.0000, 0.0000, 0.0000], [0.0000, 0.5000, 0.0000], [0.5000, 0.0000, 0.0000], [0.5000, 0.5000, 0.5000], [0.0000, 0.0000, 0.5000]],
  "dos_ef_per_ev_cell": 2.6,
  "relative_energy_kj_per_mol_atoms": 9.31,
  "magnetic_moment_mub_per_fu": 3.9,
  "e_form_raw_ev_per_atom": 0.654,
  "final_energy_ev_per_cell": -32.24
}

---

Record 7
{
  "formula": "Tb12Y2Er5",
  "functional": "PBE-GGA",
  "state": "optimized geometry",
  "lattice": [[7.8884, -4.5802, 0.0000], [7.8884, 4.5802, 0.0000], [-0.1350, 0.0000, 8.5232]],
  "species": ["Tb", "Tb", "Tb", "Tb", "Tb", "Tb", "Tb", "Tb", "Tb", "Tb", "Tb", "Tb", "Y", "Y", "Er", "Er", "Er", "Er", "Er"],
  "fractional_positions": [[0.0595, 0.0595, 0.3372], [0.0672, 0.6803, 0.3364], [0.1627, 0.5267, 0.7573], [0.3197, 0.9328, 0.6636], [0.4076, 0.4076, 0.1150], [0.4733, 0.8373, 0.2427], [0.5267, 0.1627, 0.7573], [0.5924, 0.5924, 0.8850], [0.6803, 0.0672, 0.3364], [0.8373, 0.4733, 0.2427], [0.9328, 0.3197, 0.6636], [0.9405, 0.9405, 0.6628], [0.1778, 0.8222, 0.0000], [0.8222, 0.1778, 0.0000], [0.1982, 0.1982, 0.0129], [0.2681, 0.2681, 0.4272], [0.5000, 0.5000, 0.5000], [0.7319, 0.7319, 0.5728], [0.8018, 0.8018, 0.9871]],
  "formation_energy_ev_per_fu": 2.50,
  "dos_ef_per_ev_cell": 28.7,
  "relative_energy_kj_per_mol_atoms": 6.50,
  "magnetic_moment_mub_per_fu": 0.0,
  "final_energy_ev_per_cell": -88.81
}

---

Record 8
{
  "formula": "Rb2HI",
  "functional": "PBE-GGA",
  "state": "optimized geometry",
  "lattice": [[4.2838, 0.0000, 0.0000], [0.0000, 19.1512, 0.0000], [0.0000, 0.0000, 7.6236]],
  "species": ["Rb", "Rb", "Rb", "Rb", "Rb", "Rb", "Rb", "Rb", "H", "H", "H", "H", "I", "I", "I", "I"],
  "fractional_positions": [[0.0000, 0.0000, 0.0000], [0.0000, 0.0000, 0.5000], [0.0000, 0.1824, 0.2500], [0.0000, 0.8176, 0.7500], [0.5000, 0.3176, 0.7500], [0.5000, 0.5000, 0.0000], [0.5000, 0.5000, 0.5000], [0.5000, 0.6824, 0.2500], [0.0000, 0.4375, 0.7500], [0.0000, 0.5625, 0.2500], [0.5000, 0.0625, 0.2500], [0.5000, 0.9375, 0.7500], [0.0000, 0.1650, 0.7500], [0.0000, 0.8350, 0.2500], [0.5000, 0.3350, 0.2500], [0.5000, 0.6650, 0.7500]],
  "dos_ef_per_ev_cell": 0.0,
  "relative_energy_kj_per_mol_atoms": 3.11,
  "magnetic_moment_mub_per_fu": 0.0,
  "final_energy_ev_per_cell": -39.41
}

---

Record 9
{
  "formula": "SmAlGa",
  "functional": "PBE-GGA",
  "state": "optimized geometry",
  "lattice": [[3.3937, 0.0000, 0.0000], [0.0000, 3.3937, 0.0000], [0.0000, 0.0000, 11.3546]],
  "species": ["Sm", "Sm", "Al", "Al", "Ga", "Ga"],
  "fractional_positions": [[0.0000, 0.0000, 0.0000], [0.5000, 0.5000, 0.5000], [0.0000, 0.0000, 0.3085], [0.5000, 0.5000, 0.8085], [0.0000, 0.0000, 0.6873], [0.5000, 0.5000, 0.1873]],
  "formation_energy_ev_per_fu": -0.98,
  "dos_ef_per_ev_cell": 3.8,
  "magnetic_moment_mub_per_fu": 0.0,
  "final_energy_ev_per_cell": -24.94
}

---

Record 10
{
  "formula": "Li4ZnIn8",
  "functional": "PBE-GGA",
  "state": "optimized geometry",
  "lattice": [[4.3533, 0.0000, 0.0000], [0.0000, 4.4904, 0.0000], [0.0000, 0.0000, 15.5568]],
  "species": ["Li", "Li", "Li", "Li", "Zn", "In", "In", "In", "In", "In", "In", "In", "In"],
  "fractional_positions": [[0.0000, 0.0000, 0.0000], [0.0000, 0.5000, 0.1515], [0.5000, 0.0000, 0.4390], [0.5000, 0.5000, 0.6919], [0.0000, 0.0000, 0.7447], [0.0000, 0.0000, 0.2931], [0.0000, 0.0000, 0.5766], [0.0000, 0.5000, 0.4520], [0.0000, 0.5000, 0.8557], [0.5000, 0.0000, 0.1451], [0.5000, 0.0000, 0.8588], [0.5000, 0.5000, 0.0057], [0.5000, 0.5000, 0.3027]],
  "formation_energy_ev_per_fu": -1.46,
  "dos_ef_per_ev_cell": 3.6,
  "magnetic_moment_mub_per_fu": 0.0,
  "final_energy_ev_per_cell": -32.29
}

---

Record 11
{
  "formula": "Sc2ZnCd",
  "functional": "PBE-GGA",
  "state": "optimized geometry",
  "lattice": [[6.9018, 0.0000, 0.0000], [0.0000, 6.9018, 0.0000], [0.0000, 0.0000, 6.9018]],
  "species": ["Sc", "Sc", "Sc", "Sc", "Sc", "Sc", "Sc", "Sc", "Zn", "Zn", "Zn", "Zn", "Cd", "Cd", "Cd", "Cd"],
  "fractional_positions": [[0.0000, 0.0000, 0.0000], [0.0000, 0.5000, 0.5000], [0.2500, 0.2500, 0.2500], [0.2500, 0.7500, 0.7500], [0.5000, 0.0000, 0.5000], [0.5000, 0.5000, 0.0000], [0.7500, 0.2500, 0.7500], [0.7500, 0.7500, 0.2500], [0.0000, 0.0000, 0.5000], [0.0000, 0.5000, 0.0000], [0.5000, 0.0000, 0.0000], [0.5000, 0.5000, 0.5000], [0.2500, 0.2500, 0.7500], [0.2500, 0.7500, 0.2500], [0.7500, 0.2500, 0.2500], [0.7500, 0.7500, 0.7500]],
  "formation_energy_ev_per_fu": -0.02,
  "dos_ef_per_ev_cell": 22.6,
  "magnetic_moment_mub_per_fu": 1.6,
  "final_energy_ev_per_cell": -59.47
}

---

Record 12
{
  "formula": "MnFe2Br",
  "functional": "PBE-GGA",
  "state": "optimized geometry",
  "lattice": [[3.0203, 0.0000, 0.0000], [-1.5101, 2.6156, 0.0000], [0.0000, 0.0000, 22.8912]],
  "species": ["Mn", "Mn", "Mn", "Fe", "Fe", "Fe", "Fe", "Fe", "Fe", "Br", "Br", "Br"],
  "fractional_positions": [[0.0000, 0.0000, 0.0000], [0.3333, 0.6667, 0.6667], [0.6667, 0.3333, 0.3333], [0.0000, 0.0000, 0.2562], [0.0000, 0.0000, 0.7438], [0.3333, 0.6667, 0.4104], [0.3333, 0.6667, 0.9229], [0.6667, 0.3333, 0.0771], [0.6667, 0.3333, 0.5896], [0.0000, 0.0000, 0.5000], [0.3333, 0.6667, 0.1667], [0.6667, 0.3333, 0.8333]],
  "dos_ef_per_ev_cell": 11.7,
  "relative_energy_kj_per_mol_atoms": 25.09,
  "magnetic_moment_mub_per_fu": 7.9,
  "e_form_raw_ev_per_atom": 0.613,
  "final_energy_ev_per_cell": -75.95
}